# 1
Computed, not measured: a relaxed structure of Nd6AgPt3 at the PBE level of DFT.

Summary:
Mass density ... 8.64 g/cm3
Formation enthalpy at 0 K ... -0.6543 eV per atom

a = 11.1404 Å, b = 14.4966 Å, c = 7.4176 Å
α = 90.00°, β = 90.00°, γ = 90.00°
Space group Cmc2_1 (No. 36)
Inequivalent atoms, fractional coordinates:
Nd (0.0000, 0.0095, 0.0000) (multiplicity 4)
Nd (0.0000, 0.2330, 0.3547) (multiplicity 4)
Nd (0.1692, 0.4715, 0.4066) (multiplicity 8)
Nd (0.1790, 0.2774, 0.9596) (multiplicity 8)
Ag (0.0000, 0.1685, 0.7351) (multiplicity 4)
Pt (0.0000, 0.4023, 0.1228) (multiplicity 4)
Pt (0.1834, 0.1083, 0.2091) (multiplicity 8)

---

# 2
Computed, not measured: a relaxed structure of Pr4SmTm2Sc at the PBE level of DFT.

Summary:
Mass density ... 6.93 g/cm3
Formation enthalpy at 0 K ... 0.0934 eV per atom

a = 5.8624 Å, b = 5.8463 Å, c = 7.6632 Å
α = 90.00°, β = 90.05°, γ = 90.00°
Space group P2/m (No. 10)
Inequivalent atoms, fractional coordinates:
Pr (0.0004, 0.0000, 0.2368) (multiplicity 2)
Pr (0.4995, 0.5000, 0.2377) (multiplicity 2)
Sm (0.5000, 0.0000, 0.5000) (multiplicity 1)
Tm (0.0000, 0.5000, 0.5000) (multiplicity 1)
Tm (0.5000, 0.0000, 0.0000) (multiplicity 1)
Sc (0.0000, 0.5000, 0.0000) (multiplicity 1)

---

# 3
Computed, not measured: a relaxed structure of HoPdI at the PBE level of DFT.

Summary:
E_form (uncorrected) ... -787 meV/atom
Mass density ... 6.90 g/cm3

a = 11.4645 Å, b = 5.6052 Å, c = 5.9638 Å
α = 90.00°, β = 90.00°, γ = 90.00°
Space group Aem2 (No. 39)
Inequivalent atoms, fractional coordinates:
Ho (0.1037, 0.2500, 0.0000) (multiplicity 4)
Pd (0.1489, 0.2500, 0.4785) (multiplicity 4)
I (0.3371, 0.2500, 0.7723) (multiplicity 4)

---

# 4
Computed, not measured: a relaxed structure of Ta2CoTe at the PBE level of DFT.

Summary:
E_form (uncorrected) ... 209 meV/atom
Mass density ... 13.42 g/cm3

a = 3.4914 Å, b = 4.3984 Å, c = 4.4201 Å
α = 90.00°, β = 90.00°, γ = 90.00°
Space group Pmmm (No. 47)
Inequivalent atoms, fractional coordinates:
Ta (0.0000, 0.0000, 0.0000) (multiplicity 1)
Ta (0.5000, 0.5000, 0.0000) (multiplicity 1)
Co (0.0000, 0.5000, 0.5000) (multiplicity 1)
Te (0.5000, 0.0000, 0.5000) (multiplicity 1)

---

# 5
Computed, not measured: a relaxed structure of AlCuSb at the PBE level of DFT.

Summary:
Relative energy among the computed polymorphs ... 11.11 kJ per mole of atoms
E_form (uncorrected) ... 120 meV/atom
Mass density ... 5.96 g/cm3

a = 4.0607 Å, b = 4.0607 Å, c = 4.1410 Å
α = 90.00°, β = 90.00°, γ = 120.00°
Space group P3m1 (No. 156)
Inequivalent atoms, fractional coordinates:
Al (0.0000, 0.0000, 0.0000) (multiplicity 1)
Cu (0.3333, 0.6667, 0.2208) (multiplicity 1)
Sb (0.6667, 0.3333, 0.5287) (multiplicity 1)

---

# 6
Computed, not measured: a relaxed structure of AcNdPdRh at the PBE level of DFT.

Summary:
Relative energy among the computed polymorphs ... 0.00 kJ per mole of atoms
Mass density ... 9.45 g/cm3
Formation enthalpy at 0 K ... -0.7408 eV per atom

a = 4.4770 Å, b = 4.0465 Å, c = 11.2608 Å
α = 90.00°, β = 90.00°, γ = 90.00°
Space group Amm2 (No. 38)
Inequivalent atoms, fractional coordinates:
Ac (0.0000, 0.0000, 0.0000) (multiplicity 2)
Nd (0.5000, 0.0000, 0.7243) (multiplicity 2)
Pd (0.5000, 0.0000, 0.4397) (multiplicity 2)
Rh (0.0000, 0.0000, 0.2653) (multiplicity 2)

---

# 7
Computed, not measured: a relaxed structure of BaNp2RhS4 at the PBE level of DFT.

Summary:
E_form (uncorrected) ... -1400 meV/atom
Mass density ... 7.65 g/cm3

a = 4.0242 Å, b = 13.3298 Å, c = 13.6383 Å
α = 90.00°, β = 90.00°, γ = 90.00°
Space group Cmcm (No. 63)
Inequivalent atoms, fractional coordinates:
Ba (0.0000, 0.1084, 0.2500) (multiplicity 4)
Np (0.0000, 0.3673, 0.0634) (multiplicity 8)
Rh (0.0000, 0.1615, 0.7500) (multiplicity 4)
S (0.0000, 0.0000, 0.0000) (multiplicity 4)
S (0.0000, 0.2647, 0.6075) (multiplicity 8)
S (0.0000, 0.4332, 0.2500) (multiplicity 4)

---

# 8
Computed, not measured: a relaxed structure of Sr2AgPb at the PBE level of DFT.

Summary:
Mass density ... 6.17 g/cm3
Formation enthalpy at 0 K ... -0.3289 eV per atom

a = 13.5330 Å, b = 3.9096 Å, c = 5.4452 Å
α = 90.00°, β = 113.59°, γ = 90.00°
Space group Cm (No. 8)
Inequivalent atoms, fractional coordinates:
Sr (0.0000, 0.0000, 0.0000) (multiplicity 2)
Sr (0.2071, 0.0000, 0.7063) (multiplicity 2)
Ag (0.4799, 0.0000, 0.4801) (multiplicity 2)
Pb (0.2879, 0.5000, 0.2870) (multiplicity 2)

---

# 9
Computed, not measured: a relaxed structure of Ho4Al at the PBE level of DFT.

Summary:
Relative energy among the computed polymorphs ... 0.00 kJ per mole of atoms
Mass density ... 7.91 g/cm3
Formation enthalpy at 0 K ... -0.0265 eV per atom

a = 10.6683 Å, b = 7.0058 Å, c = 8.5860 Å
α = 90.00°, β = 115.97°, γ = 90.00°
Space group C2/m (No. 12)
Inequivalent atoms, fractional coordinates:
Ho (0.0827, 0.2397, 0.3832) (multiplicity 8)
Ho (0.2173, 0.5000, 0.7805) (multiplicity 4)
Ho (0.2459, 0.5000, 0.1935) (multiplicity 4)
Al (0.0000, 0.2071, 0.0000) (multiplicity 4)

---

# 10
Computed, not measured: a relaxed structure of CaTcC at the PBE level of DFT.

Summary:
Relative energy among the computed polymorphs ... 4.38 kJ per mole of atoms
Mass density ... 5.10 g/cm3
Formation enthalpy at 0 K ... 0.1165 eV per atom

a = 3.5049 Å, b = 3.5049 Å, c = 4.5945 Å
α = 90.00°, β = 90.00°, γ = 120.00°
Space group P-6m2 (No. 187)
Inequivalent atoms, fractional coordinates:
Ca (0.0000, 0.0000, 0.0000) (multiplicity 1)
Tc (0.6667, 0.3333, 0.5000) (multiplicity 1)
C (0.3333, 0.6667, 0.5000) (multiplicity 1)

---

# 11
Computed, not measured: a relaxed structure of MgPb2Au at the PBE level of DFT.

Summary:
Mass density ... 10.42 g/cm3
Formation enthalpy at 0 K ... -0.0032 eV per atom

a = 7.3996 Å, b = 7.3996 Å, c = 7.3996 Å
α = 90.00°, β = 90.00°, γ = 90.00°
Space group F-43m (No. 216)
Inequivalent atoms, fractional coordinates:
Mg (0.0000, 0.0000, 0.0000) (multiplicity 4)
Pb (0.0000, 0.0000, 0.5000) (multiplicity 4)
Pb (0.2500, 0.2500, 0.2500) (multiplicity 4)
Au (0.2500, 0.2500, 0.7500) (multiplicity 4)

---

# 12
Computed, not measured: a relaxed structure of BaZn9Ag4 at the PBE level of DFT.

Summary:
Mass density ... 7.56 g/cm3
Formation enthalpy at 0 K ... -0.1540 eV per atom

a = 8.9784 Å, b = 8.9784 Å, c = 12.6113 Å
α = 90.00°, β = 90.00°, γ = 90.00°
Space group I4/mcm (No. 140)
Inequivalent atoms, fractional coordinates:
Ba (0.0000, 0.0000, 0.2500) (multiplicity 4)
Zn (0.0000, 0.5000, 0.0000) (multiplicity 4)
Zn (0.0597, 0.2013, 0.0000) (multiplicity 16)
Zn (0.1134, 0.3866, 0.1780) (multiplicity 16)
Ag (0.1832, 0.3168, 0.3792) (multiplicity 16)

---

# 13
Computed, not measured: a relaxed structure of BaFeRe at the PBE level of DFT.

Summary:
Relative energy among the computed polymorphs ... 0.00 kJ per mole of atoms
Mass density ... 8.65 g/cm3
Formation enthalpy at 0 K ... 0.7057 eV per atom

a = 3.9575 Å, b = 3.9575 Å, c = 5.3685 Å
α = 90.00°, β = 90.00°, γ = 120.00°
Space group P3m1 (No. 156)
Inequivalent atoms, fractional coordinates:
Ba (0.0000, 0.0000, 0.0000) (multiplicity 1)
Fe (0.3333, 0.6667, 0.5264) (multiplicity 1)
Re (0.6667, 0.3333, 0.4831) (multiplicity 1)

---

# 14
Computed, not measured: a relaxed structure of GaSiGe2 at the PBE level of DFT.

Summary:
Relative energy among the computed polymorphs ... 25.61 kJ per mole of atoms
E_form (uncorrected) ... 362 meV/atom
Mass density ... 5.63 g/cm3

a = 6.5948 Å, b = 6.5948 Å, c = 6.5948 Å
α = 90.00°, β = 90.00°, γ = 90.00°
Space group Fm-3m (No. 225)
Inequivalent atoms, fractional coordinates:
Ga (0.0000, 0.0000, 0.0000) (multiplicity 4)
Si (0.0000, 0.0000, 0.5000) (multiplicity 4)
Ge (0.2500, 0.2500, 0.2500) (multiplicity 8)

---

# 15
Computed, not measured: a relaxed structure of Y4FeOs at the PBE level of DFT.

Summary:
Mass density ... 6.81 g/cm3
Formation enthalpy at 0 K ... 1.1082 eV per atom

a = 8.3732 Å, b = 8.3732 Å, c = 8.3732 Å
α = 90.00°, β = 90.00°, γ = 90.00°
Space group F-43m (No. 216)
Inequivalent atoms, fractional coordinates:
Y (0.1242, 0.1242, 0.3758) (multiplicity 16)
Fe (0.0000, 0.0000, 0.0000) (multiplicity 4)
Os (0.2500, 0.2500, 0.7500) (multiplicity 4)

---

# 16
Computed, not measured: a relaxed structure of LiV at the PBE level of DFT.

Summary:
Relative energy among the computed polymorphs ... 163.67 kJ per mole of atoms
Mass density ... 1.43 g/cm3
Formation enthalpy at 0 K ... 2.0607 eV per atom

a = 7.3919 Å, b = 7.3919 Å, c = 7.3919 Å
α = 90.00°, β = 90.00°, γ = 90.00°
Space group Pm-3n (No. 223)
Inequivalent atoms, fractional coordinates:
Li (0.0000, 0.2500, 0.5000) (multiplicity 6)
V (0.0000, 0.5000, 0.2500) (multiplicity 6)

---

# 17
Computed, not measured: a relaxed structure of TaPSe2 at the PBE level of DFT.

Summary:
E_form (uncorrected) ... -172 meV/atom
Mass density ... 7.26 g/cm3

a = 3.3797 Å, b = 3.3797 Å, c = 8.5503 Å
α = 90.00°, β = 90.00°, γ = 120.00°
Space group P-6m2 (No. 187)
Inequivalent atoms, fractional coordinates:
Ta (0.0000, 0.0000, 0.0000) (multiplicity 1)
P (0.3333, 0.6667, 0.5000) (multiplicity 1)
Se (0.3333, 0.6667, 0.1998) (multiplicity 2)

---

# 18
Computed, not measured: a relaxed structure of SrLiAl3N4 at the PBE level of DFT.

Summary:
E_form (uncorrected) ... -1165 meV/atom
Mass density ... 3.64 g/cm3

a = 5.8807 Å, b = 7.5325 Å, c = 9.9961 Å
α = 83.61°, β = 76.81°, γ = 79.58°
Space group P-1 (No. 2)
Inequivalent atoms, fractional coordinates:
Sr (0.0040, 0.1340, 0.1268) (multiplicity 2)
Sr (0.0246, 0.3843, 0.3710) (multiplicity 2)
Li (0.2101, 0.1797, 0.6448) (multiplicity 2)
Li (0.4692, 0.3259, 0.1117) (multiplicity 2)
Al (0.1687, 0.7087, 0.1472) (multiplicity 2)
Al (0.1756, 0.9403, 0.3980) (multiplicity 2)
Al (0.1785, 0.4431, 0.8998) (multiplicity 2)
Al (0.4360, 0.7962, 0.6329) (multiplicity 2)
Al (0.4477, 0.0462, 0.8765) (multiplicity 2)
Al (0.4694, 0.5615, 0.3755) (multiplicity 2)
N (0.1507, 0.9308, 0.5924) (multiplicity 2)
N (0.1629, 0.4775, 0.0882) (multiplicity 2)
N (0.1691, 0.2050, 0.8564) (multiplicity 2)
N (0.1987, 0.7095, 0.3321) (multiplicity 2)
N (0.3405, 0.5906, 0.7611) (multiplicity 2)
N (0.3489, 0.8683, 0.0285) (multiplicity 2)
N (0.3733, 0.3552, 0.5039) (multiplicity 2)
N (0.3866, 0.0827, 0.2800) (multiplicity 2)

---

# 19
Computed, not measured: a relaxed structure of LaRe2As at the PBE level of DFT.

Summary:
Mass density ... 13.22 g/cm3
Formation enthalpy at 0 K ... 0.6667 eV per atom

a = 3.0417 Å, b = 3.0417 Å, c = 27.5645 Å
α = 90.00°, β = 90.00°, γ = 120.00°
Space group R-3m (No. 166, hexagonal axes)
Inequivalent atoms, fractional coordinates:
La (0.0000, 0.0000, 0.0000) (multiplicity 3)
Re (0.0000, 0.0000, 0.2341) (multiplicity 6)
As (0.0000, 0.0000, 0.5000) (multiplicity 3)

---

# 20
Computed, not measured: a relaxed structure of TbCrRe at the PBE level of DFT.

Summary:
Mass density ... 12.57 g/cm3
Formation enthalpy at 0 K ... 0.4012 eV per atom

a = 5.2153 Å, b = 8.4736 Å, c = 9.4944 Å
α = 90.00°, β = 90.00°, γ = 90.00°
Space group Fmmm (No. 69)
Inequivalent atoms, fractional coordinates:
Tb (0.0000, 0.1675, 0.0000) (multiplicity 8)
Cr (0.2500, 0.2500, 0.2500) (multiplicity 8)
Re (0.0000, 0.0000, 0.3344) (multiplicity 8)

---

# 21
Computed, not measured: a relaxed structure of KPm2CuS4 at the PBE level of DFT.

Summary:
E_form (uncorrected) ... -1646 meV/atom
Mass density ... 4.41 g/cm3

a = 4.0478 Å, b = 13.8559 Å, c = 13.9786 Å
α = 90.00°, β = 90.00°, γ = 90.00°
Space group Cmcm (No. 63)
Inequivalent atoms, fractional coordinates:
K (0.0000, 0.1075, 0.2500) (multiplicity 4)
Pm (0.0000, 0.3655, 0.0627) (multiplicity 8)
Cu (0.0000, 0.1630, 0.7500) (multiplicity 4)
S (0.0000, 0.0000, 0.0000) (multiplicity 4)
S (0.0000, 0.2628, 0.6141) (multiplicity 8)
S (0.0000, 0.4299, 0.2500) (multiplicity 4)

---

# 22
Computed, not measured: a relaxed structure of AcYBi2 at the PBE level of DFT.

Summary:
Relative energy among the computed polymorphs ... 24.64 kJ per mole of atoms
Mass density ... 9.19 g/cm3
Formation enthalpy at 0 K ... -0.6802 eV per atom

a = 8.0938 Å, b = 8.0938 Å, c = 8.0938 Å
α = 90.00°, β = 90.00°, γ = 90.00°
Space group Fm-3m (No. 225)
Inequivalent atoms, fractional coordinates:
Ac (0.0000, 0.0000, 0.0000) (multiplicity 4)
Y (0.0000, 0.0000, 0.5000) (multiplicity 4)
Bi (0.2500, 0.2500, 0.2500) (multiplicity 8)

---

# 23
Computed, not measured: a relaxed structure of BaTi2Pt at the PBE level of DFT.

Summary:
Relative energy among the computed polymorphs ... 3.94 kJ per mole of atoms
Mass density ... 6.18 g/cm3
Formation enthalpy at 0 K ... 0.2798 eV per atom

a = 5.0344 Å, b = 5.0344 Å, c = 18.1569 Å
α = 90.00°, β = 90.00°, γ = 90.00°
Space group I4_1/amd (No. 141, origin choice 2)
Inequivalent atoms, fractional coordinates:
Ba (0.0000, 0.2500, 0.3750) (multiplicity 4)
Ti (0.0000, 0.0000, 0.0000) (multiplicity 8)
Pt (0.0000, 0.2500, 0.8750) (multiplicity 4)